The following is a SCAN calculation of LaP2RhO at its PBEsol-relaxed geometry, from Alexandria via LeMat-Bulk.

Cell: 4.3185 4.4814 4.4814 Å, 90.00 90.00 90.00°
Closest atoms and distances in Å follow each position.
Fractional coordinates of all 5 atoms:
P: 0.0000 0.0000 0.5000  2 Rh 2.24
P: 0.0000 0.5000 0.0000  2 Rh 2.24
La: 0.5000 0.5000 0.5000  8 P 3.11, 4 O 3.17
Rh: 0.0000 0.0000 0.0000  2 O 2.16, 4 P 2.24
O: 0.5000 0.0000 0.0000  2 Rh 2.16

Summary:
Raw formation energy (eV/f.u.): -3.621
E_tot (eV/atom): -21.505
N(E_F) (states/eV/atom): 0.83
Distance to the lowest polymorph of the same formula (eV/atom): 0.000
Symmetry: P4/mmm

***

The following is a SCAN calculation of BeB6H14 at its PBEsol-relaxed geometry, from Alexandria via LeMat-Bulk.

Cell: 8.0040 8.3833 10.2584 Å, 81.52 90.00 90.00°
Closest atoms and distances in Å follow each position.
Fractional coordinates of all 84 atoms:
H: 0.6534 0.6852 0.2718  2 B 1.35
H: 0.7147 0.8268 0.8258  1 B 1.25
H: 0.2659 0.9827 0.1032  2 B 1.34-1.35
H: 0.0346 0.9503 0.7638  1 B 1.21
H: 0.6383 0.2456 0.8720  1 B 1.20
H: 0.5366 0.8786 0.3632  1 B 1.20
H: 0.4654 0.4503 0.2638  1 B 1.21
H: 0.6104 0.6179 0.0986  2 B 1.34-1.35
H: 0.4940 0.0900 0.0962  1 B 1.20
H: 0.2778 0.1628 0.8965  1 B 1.20
H: 0.7554 0.5663 0.9476  1 B 1.20
H: 0.7416 0.6685 0.6740  1 B 1.26
H: 0.9654 0.0497 0.2362  1 B 1.21
H: 0.5105 0.7672 0.6258  1 B 1.26
H: 0.2341 0.4827 0.6032  2 B 1.34-1.35
H: 0.9940 0.4100 0.4038  1 B 1.20
H: 0.0105 0.7328 0.8742  1 B 1.26
H: 0.3896 0.3821 0.9014  2 B 1.34-1.35
H: 0.5346 0.5497 0.7362  1 B 1.21
H: 0.9895 0.2672 0.1258  1 B 1.26
H: 0.7778 0.3372 0.6035  1 B 1.20
H: 0.8896 0.1179 0.5986  2 B 1.34-1.35
H: 0.6678 0.4035 0.0962  1 B 1.25
H: 0.1104 0.8821 0.4014  2 B 1.34-1.35
H: 0.7659 0.5173 0.3968  2 B 1.34-1.35
H: 0.3322 0.5965 0.9038  1 B 1.25
H: 0.7446 0.0663 0.4476  1 B 1.20
H: 0.9634 0.3786 0.8632  1 B 1.20
H: 0.0962 0.9114 0.9611  1 B 1.21
H: 0.2853 0.1732 0.1742  1 B 1.25
H: 0.4895 0.2328 0.3742  1 B 1.26
H: 0.5060 0.9100 0.9038  1 B 1.20
H: 0.2416 0.8315 0.8260  1 B 1.26
H: 0.2554 0.9337 0.5524  1 B 1.20
H: 0.9038 0.0886 0.0389  1 B 1.21
H: 0.1534 0.8148 0.2282  2 B 1.35
H: 0.2222 0.6628 0.3965  1 B 1.20
H: 0.5962 0.5886 0.5389  1 B 1.21
H: 0.2584 0.3315 0.3260  1 B 1.26
H: 0.0060 0.5900 0.5962  1 B 1.20
H: 0.3466 0.3148 0.7282  2 B 1.35
H: 0.8617 0.7456 0.3720  1 B 1.20
H: 0.1678 0.0965 0.4038  1 B 1.25
H: 0.4634 0.1214 0.6368  1 B 1.20
H: 0.4038 0.4114 0.4611  1 B 1.21
H: 0.3617 0.7544 0.1280  1 B 1.20
H: 0.7341 0.0173 0.8968  2 B 1.34-1.35
H: 0.7222 0.8372 0.1035  1 B 1.20
H: 0.8322 0.9035 0.5962  1 B 1.25
H: 0.8466 0.1852 0.7718  2 B 1.35
H: 0.0366 0.6214 0.1368  1 B 1.20
H: 0.2446 0.4337 0.0524  1 B 1.20
H: 0.1383 0.2544 0.6280  1 B 1.20
H: 0.2147 0.6732 0.6742  1 B 1.25
H: 0.7584 0.1685 0.1740  1 B 1.26
H: 0.7853 0.3268 0.3258  1 B 1.25
B: 0.0979 0.4268 0.8235  1 H 1.20
B: 0.8114 0.6460 0.3092  1 H 1.20
B: 0.7578 0.0351 0.5652  3 H 1.20-1.34
B: 0.9063 0.1377 0.1436  4 H 1.21-1.26
B: 0.2696 0.3007 0.8466  1 H 1.20
B: 0.2422 0.9649 0.4348  3 H 1.20-1.34
B: 0.8794 0.4454 0.3296  3 H 1.20-1.34
B: 0.2578 0.4649 0.9348  3 H 1.20-1.34
B: 0.0937 0.8623 0.8564  4 H 1.21-1.26
B: 0.1206 0.5546 0.6704  3 H 1.20-1.34
B: 0.7696 0.1993 0.6534  1 H 1.20
B: 0.4021 0.9268 0.3235  1 H 1.20
B: 0.1886 0.3540 0.6908  1 H 1.20
B: 0.4063 0.3623 0.3564  4 H 1.21-1.26
B: 0.9021 0.5732 0.1765  1 H 1.20
B: 0.7422 0.5351 0.0652  3 H 1.20-1.34
B: 0.6206 0.9454 0.8296  3 H 1.20-1.34
B: 0.5979 0.0732 0.6765  1 H 1.20
B: 0.7304 0.6993 0.1534  1 H 1.20
B: 0.3794 0.0546 0.1704  3 H 1.20-1.34
B: 0.3114 0.8540 0.1908  1 H 1.20
B: 0.6886 0.1460 0.8092  1 H 1.20
B: 0.5937 0.6377 0.6436  4 H 1.21-1.26
B: 0.2304 0.8007 0.3466  1 H 1.20
Be: 0.1684 0.6570 0.8247  4 H 1.53-1.59
Be: 0.6684 0.8430 0.6753  4 H 1.53-1.59
Be: 0.3316 0.1570 0.3247  4 H 1.53-1.59
Be: 0.8316 0.3430 0.1753  4 H 1.53-1.59

Summary:
E_tot (eV/atom): -4.743
N(E_F) (states/eV/atom): 0.00
Symmetry: P2_1/c

***

The following is a SCAN calculation of Cs2BiIr at its PBEsol-relaxed geometry, from Alexandria via LeMat-Bulk.

Cell: 5.0736 9.2688 9.2688 Å, 85.70 74.12 74.12°
Closest atoms and distances in Å follow each position.
Fractional coordinates of all 8 atoms:
Cs: 0.4691 0.1559 0.6559  2 Ir 3.43
Cs: 0.3750 0.3441 0.1559  2 Ir 3.43
Cs: 0.8750 0.6559 0.8441  2 Ir 3.43
Cs: 0.2809 0.8441 0.3441  2 Ir 3.43
Ir: 0.5000 0.0000 0.0000  2 Bi 2.54
Ir: 0.2500 0.5000 0.5000  2 Bi 2.54
Bi: 0.7500 0.5000 0.5000  2 Ir 2.54
Bi: 0.0000 0.0000 0.0000  2 Ir 2.54

Summary:
Formation energy from the elements (kJ/mol of atoms): 15.31
E_tot (eV/atom): -56.166
N(E_F) (states/eV/atom): 0.37
Symmetry: I-42d

***

The following is a SCAN calculation of Mo2P3O13 at its PBEsol-relaxed geometry, from Alexandria via LeMat-Bulk.

Cell: 8.8734 9.0378 9.1108 Å, 110.43 109.71 107.57°
Closest atoms and distances in Å follow each position.
Fractional coordinates of all 36 atoms:
P: 0.0988 0.1642 0.4293  4 O 1.49-1.61
P: 0.1695 0.7349 0.5707  4 O 1.49-1.61
P: 0.9012 0.8357 0.5706  4 O 1.49-1.61
P: 0.8306 0.2651 0.4294  4 O 1.49-1.61
P: 0.2574 0.5074 0.0148  4 O 1.53-1.54
P: 0.7426 0.4926 0.9852  4 O 1.53-1.54
O: 0.1949 0.6079 0.4367  1 P 1.49
O: 0.8528 0.3170 0.2908  1 P 1.54
O: 0.7909 0.5605 0.8656  1 P 1.54
O: 0.3871 0.1583 0.0054  1 Mo 1.66
O: 0.9811 0.7311 0.4621  2 P 1.61
O: 0.3020 0.3793 0.8968  1 P 1.53
O: 0.1473 0.2614 0.3289  1 P 1.55
O: 0.8817 0.1529 0.9946  1 Mo 1.66
O: 0.4253 0.6949 0.1344  1 P 1.54
O: 0.0190 0.2689 0.5379  2 P 1.61
O: 0.8527 0.7385 0.6710  1 P 1.55
O: 0.8051 0.3920 0.5634  1 P 1.49
O: 0.6980 0.6207 0.1031  1 P 1.53
O: 0.6817 0.0675 0.3290  1 P 1.55
O: 0.7417 0.8286 0.4366  1 P 1.49
O: 0.1182 0.8471 0.0054  1 Mo 1.66
O: 0.3183 0.9325 0.6711  1 P 1.55
O: 0.2582 0.1713 0.5633  1 P 1.49
O: 0.9379 0.9737 0.2907  1 P 1.54
O: 0.9051 0.4825 0.1032  1 P 1.53
O: 0.2091 0.4394 0.1344  1 P 1.54
O: 0.5747 0.3051 0.8656  1 P 1.54
O: 0.0620 0.0263 0.7092  1 P 1.54
O: 0.6128 0.8417 0.9946  1 Mo 1.66
O: 0.0949 0.5176 0.8969  1 P 1.53
O: 0.1472 0.6830 0.7093  1 P 1.54
Mo: 0.0159 0.3476 0.1857  1 O 1.66
Mo: 0.6698 0.8382 0.1857  1 O 1.66
Mo: 0.3302 0.1618 0.8143  1 O 1.66
Mo: 0.9841 0.6524 0.8143  1 O 1.66

Summary:
Raw formation energy (eV/f.u.): -40.513
E_tot (eV/atom): -12.360
N(E_F) (states/eV/atom): 0.14
Distance to the lowest polymorph of the same formula (eV/atom): 0.015
Symmetry: C2/c

***

The following is a SCAN calculation of HfBi2N at its PBEsol-relaxed geometry, from Alexandria via LeMat-Bulk.

Cell: 6.0963 6.0963 6.0963 Å, 108.74 109.84 109.84°
Closest atoms and distances in Å follow each position.
Fractional coordinates of all 8 atoms:
Bi: 0.0764 0.8750 0.4514  2 N 2.31
Bi: 0.4236 0.5486 0.6250  2 N 2.31
Bi: 0.9236 0.3750 0.7986  2 N 2.31
Bi: 0.5764 0.2014 0.1250  2 N 2.31
N: 0.5000 0.2500 0.7500  4 Bi 2.31
N: 0.0000 0.5000 0.5000  4 Bi 2.31
Hf: 0.0000 0.0000 0.0000  4 Bi 3.01
Hf: 0.5000 0.7500 0.2500  4 Bi 3.01

Summary:
Raw formation energy (eV/f.u.): 3.521
E_tot (eV/atom): -56.401
N(E_F) (states/eV/atom): 0.68
Symmetry: I-42d

***

The following is a SCAN calculation of MgTiCoP3O12 at its PBEsol-relaxed geometry, from Alexandria via LeMat-Bulk.

Cell: 8.3379 8.3379 8.3379 Å, 60.71 60.71 60.71°
Closest atoms and distances in Å follow each position.
Fractional coordinates of all 36 atoms:
O: 0.9466 0.0796 0.7437  1 P 1.55
O: 0.5080 0.1225 0.3096  1 P 1.51
O: 0.0080 0.8096 0.6225  1 P 1.51
O: 0.2606 0.0554 0.9074  1 P 1.56
O: 0.0796 0.7437 0.9466  1 P 1.55
O: 0.5047 0.8816 0.6777  1 P 1.54
O: 0.2437 0.5796 0.4466  1 P 1.55
O: 0.1777 0.3816 0.0047  1 P 1.54
O: 0.0047 0.1777 0.3816  1 P 1.54
O: 0.7606 0.4074 0.5554  1 P 1.56
O: 0.8816 0.6777 0.5047  1 P 1.54
O: 0.5554 0.7606 0.4074  1 P 1.56
O: 0.9074 0.2606 0.0554  1 P 1.56
O: 0.6777 0.5047 0.8816  1 P 1.54
O: 0.1225 0.3096 0.5080  1 P 1.51
O: 0.3816 0.0047 0.1777  1 P 1.54
O: 0.4074 0.5554 0.7606  1 P 1.56
O: 0.7437 0.9466 0.0796  1 P 1.55
O: 0.8096 0.6225 0.0080  1 P 1.51
O: 0.3096 0.5080 0.1225  1 P 1.51
O: 0.6225 0.0080 0.8096  1 P 1.51
O: 0.4466 0.2437 0.5796  1 P 1.55
O: 0.0554 0.9074 0.2606  1 P 1.56
O: 0.5796 0.4466 0.2437  1 P 1.55
Co: 0.3604 0.3604 0.3604  6 O 1.88-1.91
Co: 0.8604 0.8604 0.8604  6 O 1.88-1.91
P: 0.7453 0.4637 0.0439  4 O 1.51-1.56
P: 0.2453 0.5439 0.9637  4 O 1.51-1.56
P: 0.5439 0.9637 0.2453  4 O 1.51-1.56
P: 0.0439 0.7453 0.4637  4 O 1.51-1.56
P: 0.9637 0.2453 0.5439  4 O 1.51-1.56
P: 0.4637 0.0439 0.7453  4 O 1.51-1.56
Mg: 0.9978 0.9978 0.9978  6 O 2.08-2.16
Mg: 0.4978 0.4978 0.4978  6 O 2.08-2.16
Ti: 0.1416 0.1416 0.1416  6 O 1.85-2.02
Ti: 0.6416 0.6416 0.6416  6 O 1.85-2.02

Summary:
Raw formation energy (eV/f.u.): -46.156
E_tot (eV/atom): -10.580
N(E_F) (states/eV/atom): 0.00
Symmetry: R3c

***

The following is a SCAN calculation of Sn7S2Br10 at its PBEsol-relaxed geometry, from Alexandria via LeMat-Bulk.

Cell: 7.0818 10.1885 10.4597 Å, 52.49 87.01 90.45°
Closest atoms and distances in Å follow each position.
Fractional coordinates of all 19 atoms:
S: 0.6236 0.7425 0.1220  3 Sn 2.55-2.65
S: 0.4696 0.0699 0.7735  3 Sn 2.53-2.62
Br: 0.6494 0.9844 0.4888  2 Sn 2.84-3.08
Br: 0.6292 0.1379 0.0621  2 Sn 2.80-2.87
Br: 0.1463 0.0844 0.5393  2 Sn 2.80-2.96
Br: 0.0983 0.8808 0.3238  1 Sn 2.64
Br: 0.1334 0.7817 0.0291  2 Sn 2.69-2.98
Br: 0.8078 0.5881 0.9057  2 Sn 2.77-3.01
Br: 0.2397 0.4875 0.4651  2 Sn 2.76-2.82
Br: 0.7383 0.4552 0.5706  2 Sn 2.85-3.11
Br: 0.1299 0.2771 0.8962  2 Sn 2.82-2.83
Br: 0.3345 0.3938 0.1273  2 Sn 2.74-2.96
Sn: 0.8703 0.5304 0.1951  1 S 2.55, 2 Br 2.69-2.77
Sn: 0.5128 0.7325 0.3689  1 S 2.60, 2 Br 2.76-2.85
Sn: 0.9940 0.1827 0.2010  3 Br 2.64-2.96
Sn: 0.3828 0.8374 0.7598  1 S 2.53, 1 Br 2.80
Sn: 0.8015 0.0297 0.8881  2 S 2.62-2.65, 1 Br 2.87
Sn: 0.4749 0.4476 0.8495  4 Br 2.74-3.01
Sn: 0.5016 0.2802 0.4666  1 S 2.55, 1 Br 2.82

Summary:
Raw formation energy (eV/f.u.): -11.802
E_tot (eV/atom): -25.111
N(E_F) (states/eV/atom): 0.00
Symmetry: P1

***

The following is a SCAN calculation of TaWN2O at its PBEsol-relaxed geometry, from Alexandria via LeMat-Bulk.

Cell: 3.7560 3.9290 3.9290 Å, 90.00 90.00 90.00°
Closest atoms and distances in Å follow each position.
Fractional coordinates of all 5 atoms:
O: 0.5000 0.0000 0.0000  2 W 1.88
W: 0.0000 0.0000 0.0000  2 O 1.88, 4 N 1.96
N: 0.0000 0.5000 0.0000  2 W 1.96
N: 0.0000 0.0000 0.5000  2 W 1.96
Ta: 0.5000 0.5000 0.5000  8 N 2.72, 4 O 2.78

Summary:
Raw formation energy (eV/f.u.): 0.189
E_tot (eV/atom): -32.179
N(E_F) (states/eV/atom): 0.43
Symmetry: P4/mmm

***

The following is a SCAN calculation of MgBPS2 at its PBEsol-relaxed geometry, from Alexandria via LeMat-Bulk.

Cell: 4.6880 4.6880 4.7505 Å, 90.00 90.00 90.00°
Closest atoms and distances in Å follow each position.
Fractional coordinates of all 5 atoms:
Mg: 0.0000 0.0000 0.0000  4 S 2.34, 2 P 2.38
P: 0.0000 0.0000 0.5000  2 Mg 2.38
S: 0.0000 0.5000 0.0000  2 Mg 2.34
S: 0.5000 0.0000 0.0000  2 Mg 2.34
B: 0.5000 0.5000 0.5000  4 P 3.31, 8 S 3.34

Summary:
Raw formation energy (eV/f.u.): 7.039
E_tot (eV/atom): -7.004
N(E_F) (states/eV/atom): 1.02
Symmetry: P4/mmm

***

The following is a SCAN calculation of CaP2RhAu at its PBEsol-relaxed geometry, from Alexandria via LeMat-Bulk.

Cell: 4.6782 4.6782 5.1637 Å, 90.00 90.00 90.00°
Closest atoms and distances in Å follow each position.
Fractional coordinates of all 5 atoms:
Ca: 0.0000 0.0000 0.5000  2 Au 2.58
P: 0.0000 0.5000 0.0000  2 Au 2.34
P: 0.5000 0.0000 0.0000  2 Au 2.34
Au: 0.0000 0.0000 0.0000  4 P 2.34, 2 Ca 2.58
Rh: 0.5000 0.5000 0.5000  4 Ca 3.31, 8 P 3.48

Summary:
Formation energy from the elements (kJ/mol of atoms): 76.75
E_tot (eV/atom): -25.882
N(E_F) (states/eV/atom): 0.79
Symmetry: P4/mmm

***

The following is a SCAN calculation of NiOsRh2 at its PBEsol-relaxed geometry, from Alexandria via LeMat-Bulk.

Cell: 2.6395 4.5282 4.5733 Å, 99.51 106.78 90.02°
Closest atoms and distances in Å follow each position.
Fractional coordinates of all 4 atoms:
Rh: 0.7506 0.7511 0.5010  6 Rh 2.61-2.64, 3 Os 2.63-2.64, 3 Ni 2.63
Rh: 0.2495 0.2489 0.4990  6 Rh 2.61-2.64, 3 Os 2.63-2.64, 3 Ni 2.63
Os: 0.0000 0.5000 0.0000  4 Ni 2.62, 6 Rh 2.63-2.64, 2 Os 2.64
Ni: 0.5000 0.0000 0.0000  4 Os 2.62, 6 Rh 2.63, 2 Ni 2.64

Summary:
Formation energy from the elements (kJ/mol of atoms): 6.48
E_tot (eV/atom): -38.832
N(E_F) (states/eV/atom): 0.91
Distance to the lowest polymorph of the same formula (eV/atom): 0.020
Symmetry: C2/m

***

The following is a SCAN calculation of Ca2TeRu at its PBEsol-relaxed geometry, from Alexandria via LeMat-Bulk.

Cell: 3.4211 4.7945 6.7366 Å, 110.85 104.71 90.00°
Closest atoms and distances in Å follow each position.
Fractional coordinates of all 4 atoms:
Ru: 0.5199 0.0199 0.0397  2 Te 2.60
Te: 0.1810 0.1810 0.3619  2 Ru 2.60
Ca: 0.7969 0.7969 0.5937  2 Ru 3.20, 4 Te 3.26, 4 Ca 3.42-3.46
Ca: 0.0023 0.5023 0.0046  4 Ru 2.95, 2 Te 3.23

Summary:
Raw formation energy (eV/f.u.): -1.765
E_tot (eV/atom): -23.292
Symmetry: Imm2

***

- E_tot of number 2 (BeB6H14)?
  -4.743 eV/atom

***

- Which value of E_tot does entry 6 give?
  -10.580 eV/atom

***

Please write out number 6 again, unchanged.
The following is a SCAN calculation of MgTiCoP3O12 at its PBEsol-relaxed geometry, from Alexandria via LeMat-Bulk.

Cell: 8.3379 8.3379 8.3379 Å, 60.71 60.71 60.71°
Closest atoms and distances in Å follow each position.
Fractional coordinates of all 36 atoms:
O: 0.9466 0.0796 0.7437  1 P 1.55
O: 0.5080 0.1225 0.3096  1 P 1.51
O: 0.0080 0.8096 0.6225  1 P 1.51
O: 0.2606 0.0554 0.9074  1 P 1.56
O: 0.0796 0.7437 0.9466  1 P 1.55
O: 0.5047 0.8816 0.6777  1 P 1.54
O: 0.2437 0.5796 0.4466  1 P 1.55
O: 0.1777 0.3816 0.0047  1 P 1.54
O: 0.0047 0.1777 0.3816  1 P 1.54
O: 0.7606 0.4074 0.5554  1 P 1.56
O: 0.8816 0.6777 0.5047  1 P 1.54
O: 0.5554 0.7606 0.4074  1 P 1.56
O: 0.9074 0.2606 0.0554  1 P 1.56
O: 0.6777 0.5047 0.8816  1 P 1.54
O: 0.1225 0.3096 0.5080  1 P 1.51
O: 0.3816 0.0047 0.1777  1 P 1.54
O: 0.4074 0.5554 0.7606  1 P 1.56
O: 0.7437 0.9466 0.0796  1 P 1.55
O: 0.8096 0.6225 0.0080  1 P 1.51
O: 0.3096 0.5080 0.1225  1 P 1.51
O: 0.6225 0.0080 0.8096  1 P 1.51
O: 0.4466 0.2437 0.5796  1 P 1.55
O: 0.0554 0.9074 0.2606  1 P 1.56
O: 0.5796 0.4466 0.2437  1 P 1.55
Co: 0.3604 0.3604 0.3604  6 O 1.88-1.91
Co: 0.8604 0.8604 0.8604  6 O 1.88-1.91
P: 0.7453 0.4637 0.0439  4 O 1.51-1.56
P: 0.2453 0.5439 0.9637  4 O 1.51-1.56
P: 0.5439 0.9637 0.2453  4 O 1.51-1.56
P: 0.0439 0.7453 0.4637  4 O 1.51-1.56
P: 0.9637 0.2453 0.5439  4 O 1.51-1.56
P: 0.4637 0.0439 0.7453  4 O 1.51-1.56
Mg: 0.9978 0.9978 0.9978  6 O 2.08-2.16
Mg: 0.4978 0.4978 0.4978  6 O 2.08-2.16
Ti: 0.1416 0.1416 0.1416  6 O 1.85-2.02
Ti: 0.6416 0.6416 0.6416  6 O 1.85-2.02

Summary:
Raw formation energy (eV/f.u.): -46.156
E_tot (eV/atom): -10.580
N(E_F) (states/eV/atom): 0.00
Symmetry: R3c

***

- Which value of E_tot does entry 7 give?
  -25.111 eV/atom